(1)
{"formula": "KSN2O", "functional": "PBE-GGA", "state": "optimized geometry", "lattice": [[3.5971, 0.0000, 0.0000], [0.0000, 3.5971, 0.0000], [0.0000, 0.0000, 4.3344]], "species": ["K", "S", "O", "N", "N"], "frac_coords": [[0.5000, 0.5000, 0.5000], [0.0000, 0.0000, 0.0000], [0.0000, 0.0000, 0.5000], [0.0000, 0.5000, 0.0000], [0.5000, 0.0000, 0.0000]], "raw_formation_energy_ev_per_atom": 1.0058}



(2)
{"formula": "AlTl2Au", "functional": "PBE-GGA", "state": "optimized geometry", "lattice": [[-5.3684, 1.5162, 0.0714], [-2.0006, -0.2362, -5.2024], [2.8167, -3.7349, 3.0397]], "species": ["Tl", "Tl", "Au", "Al"], "frac_coords": [[0.0000, 0.0000, 0.0000], [0.5000, 0.5000, 0.0000], [0.7500, 0.2500, 0.5000], [0.2500, 0.7500, 0.5000]], "e_form_ev_per_atom": 0.18}



(3)
{"formula": "CeDyY2Co2", "functional": "PBE-GGA", "state": "optimized geometry", "lattice": [[-2.8429, -2.0412, 5.6114], [-4.7380, -3.3538, -3.6204], [7.4967, -2.5175, -1.0149]], "species": ["Ce", "Ce", "Dy", "Dy", "Y", "Y", "Y", "Y", "Co", "Co", "Co", "Co"], "frac_coords": [[0.7500, 0.5000, 0.0000], [0.2500, 0.5000, 0.0000], [0.2500, 0.0000, 0.0000], [0.7500, 0.0000, 0.0000], [0.7027, 0.8880, 0.4054], [0.2027, 0.5175, 0.4054], [0.7973, 0.4825, 0.5946], [0.2973, 0.1120, 0.5946], [0.4034, 0.6123, 0.8068], [0.5966, 0.3877, 0.1932], [0.0966, 0.8055, 0.1932], [0.9034, 0.1945, 0.8068]], "e_form_ev_per_atom": -0.11}



(4)
{"formula": "YNiPt2", "functional": "PBE-GGA", "state": "optimized geometry", "lattice": [[9.0935, 0.0938, 0.0553], [8.5774, 3.0214, 0.0553], [8.5774, 1.5121, 2.6164]], "species": ["Ni", "Pt", "Pt", "Y"], "frac_coords": [[0.7500, 0.7500, 0.7500], [0.0085, 0.0085, 0.0085], [0.4915, 0.4915, 0.4915], [0.2500, 0.2500, 0.2500]], "e_form_ev_per_atom": -0.07}



(5)
{"formula": "Nd2Ga3Pd4Pt", "functional": "PBE-GGA", "state": "optimized geometry", "lattice": [[-2.2231, -1.4288, 3.1030], [2.9603, -2.6534, 0.8991], [4.8673, 7.8343, 7.0945]], "species": ["Nd", "Nd", "Ga", "Ga", "Ga", "Pd", "Pd", "Pd", "Pd", "Pt"], "frac_coords": [[0.5000, 0.0000, 0.2657], [0.0000, 0.5000, 0.7343], [0.0000, 0.0000, 0.5000], [0.5000, 0.0000, 0.8707], [0.0000, 0.5000, 0.1293], [0.5000, 0.5000, 0.0000], [0.0000, 0.0000, 0.0000], [0.5000, 0.0000, 0.6568], [0.0000, 0.5000, 0.3432], [0.5000, 0.5000, 0.5000]], "e_form_ev_per_atom": -0.78}



(6)
{"formula": "Th2As3Rh9", "functional": "PBE-GGA", "state": "optimized geometry", "lattice": [[7.1628, -0.0224, -3.0179], [-4.2049, 6.5370, -0.0061], [-0.0413, 0.0039, 9.9438]], "species": ["Th", "Th", "Th", "Th", "As", "As", "As", "As", "As", "As", "Rh", "Rh", "Rh", "Rh", "Rh", "Rh", "Rh", "Rh", "Rh", "Rh", "Rh", "Rh", "Rh", "Rh", "Rh", "Rh", "Rh", "Rh"], "frac_coords": [[0.3352, 0.2424, 0.7506], [0.6648, 0.7576, 0.2494], [0.9918, 0.5846, 0.7494], [0.0082, 0.4154, 0.2506], [0.5000, 0.0000, 0.0000], [0.5000, 0.5000, 0.5000], [0.8568, 0.1791, 0.5032], [0.1432, 0.8209, 0.4968], [0.1759, 0.3536, 0.9968], [0.8241, 0.6464, 0.0032], [0.4514, 0.9186, 0.7446], [0.5486, 0.0814, 0.2554], [0.6740, 0.7068, 0.7554], [0.3260, 0.2932, 0.2446], [0.4393, 0.6348, 0.9171], [0.5607, 0.3652, 0.0829], [0.2178, 0.5222, 0.5829], [0.7822, 0.4778, 0.4171], [0.8794, 0.1294, 0.7500], [0.1206, 0.8706, 0.2500], [0.1364, 0.9855, 0.9463], [0.8636, 0.0145, 0.0537], [0.5392, 0.1900, 0.5537], [0.4608, 0.8100, 0.4463], [0.8883, 0.8600, 0.5789], [0.1117, 0.1400, 0.4211], [0.7810, 0.3094, 0.9211], [0.2190, 0.6906, 0.0789]], "e_form_ev_per_atom": -0.68}